This record from the Alexandria database describes a relaxed Be5ZnRh6 crystal. The functional is PBE.

- ΔH_f (0 K) (eV/atom) = -0.5298
- symmetry = Immm (71)

a b c (Å): 6.9375 6.9375 6.9375
angles (deg): 146.52 131.61 60.13
Atoms (fractional coordinates):
Be: 0.0000 0.0000 0.0000
Be: 0.1688 0.6688 0.5000
Be: 0.3363 0.3363 0.0000
Be: 0.6637 0.6637 0.0000
Be: 0.8312 0.3312 0.5000
Zn: 0.5000 0.0000 0.5000
Rh: 0.0718 0.8288 0.2429
Rh: 0.2361 0.5000 0.7361
Rh: 0.4141 0.1712 0.2429
Rh: 0.5859 0.8288 0.7571
Rh: 0.7639 0.5000 0.2639
Rh: 0.9282 0.1712 0.7571